Entry from the Alexandria database: LiSi2Cl after structural relaxation (PBE-GGA).

ΔE to the lowest computed polymorph	0.0158	eV per atom
energy	-68.9	eV per cell
formation energy (no corrections)	-0.66	eV/atom

Geometry as CIF:
```
data_LiSi2Cl
_cell_length_a 6.6818
_cell_length_b 3.8618
_cell_length_c 13.5353
_cell_angle_alpha 90.00
_cell_angle_beta 99.35
_cell_angle_gamma 90.00
_space_group_name_H-M_alt 'C 1 m 1'
_space_group_IT_number 8
loop_
_space_group_symop_operation_xyz
'x,y,z'
'x,-y,z'
'x+1/2,y+1/2,z'
'x+1/2,-y+1/2,z'
loop_
_atom_site_label
_atom_site_type_symbol
_atom_site_fract_x
_atom_site_fract_y
_atom_site_fract_z
Li1 Li 0.0000 0.0000 0.0000
Li2 Li 0.2482 0.5000 0.2441
Si1 Si 0.0041 0.5000 0.5031
Si2 Si 0.0649 0.5000 0.6861
Si3 Si 0.2487 0.0000 0.7383
Si4 Si 0.3189 0.5000 0.4463
Cl1 Cl 0.0583 0.0000 0.1734
Cl2 Cl 0.3112 0.0000 0.9321
```